This record from Alexandria via LeMat-Bulk describes a geometry-optimized LiCaBr2 structure. The functional is PBE.

Unit cell a=7.6401 b=7.6401 c=7.6401 alpha=90.00 beta=90.00 gamma=90.00
Space group F-43m (No. 216)
Asymmetric unit:
Li 0.0000 0.0000 0.0000 x4
Ca 0.2500 0.2500 0.2500 x4
Br 0.0000 0.0000 0.5000 x4
Br 0.2500 0.2500 0.7500 x4

Computed properties:
Raw formation energy = -727 meV per atom
Polymorph energy (0 for the lowest one) = 58.4 kJ/mol of atoms
DOS at the Fermi energy = 10.5 states/eV/cell
E_tot = -10.17 eV/f.u.
Size of the total moment = 0.837 μB per formula unit